Record 1
{"formula": "Cd4Re", "functional": "GGA-PBE", "state": "optimized geometry", "lattice_angstrom": [[-1.894, 1.894, 7.548], [1.894, -1.894, 7.548], [1.894, 1.894, -7.548]], "species": ["Cd", "Cd", "Cd", "Cd", "Re"], "frac_coords": [[0.090, 0.090, 0.000], [0.250, 0.750, 0.500], [0.750, 0.250, 0.500], [0.910, 0.910, 0.000], [0.500, 0.500, 0.000]], "ef_ev_per_atom": 0.9004, "space_group": "I4/mmm", "e_above_lowest_polymorph_ev_per_atom": 0.3552, "dos_ef_per_ev_cell": 2.4, "dft_energy_ev_per_atom": -2.3213}


Record 2
{"formula": "Cd2Re", "functional": "GGA-PBE", "state": "optimized geometry", "lattice_angstrom": [[-1.413, 1.413, 6.984], [1.413, -1.413, 6.984], [1.413, 1.413, -6.984]], "species": ["Cd", "Cd", "Re"], "frac_coords": [[0.158, 0.158, 0.000], [0.842, 0.842, 0.000], [0.500, 0.500, 0.000]], "ef_ev_per_atom": 0.6296, "space_group": "I4/mmm", "e_above_lowest_polymorph_ev_per_atom": 0.2107, "dos_ef_per_ev_cell": 3.2, "dft_energy_ev_per_atom": -4.1298}


Record 3
{"formula": "CdRe", "functional": "GGA-PBE", "state": "optimized geometry", "lattice_angstrom": [[5.874, 0.000, 0.000], [0.000, 6.964, 0.000], [0.000, 0.000, 7.701]], "species": ["Cd", "Cd", "Cd", "Cd", "Cd", "Cd", "Cd", "Cd", "Re", "Re", "Re", "Re", "Re", "Re", "Re", "Re"], "frac_coords": [[0.081, 0.197, 0.483], [0.198, 0.555, 0.685], [0.302, 0.445, 0.185], [0.419, 0.803, 0.983], [0.581, 0.303, 0.517], [0.698, 0.945, 0.315], [0.802, 0.055, 0.815], [0.919, 0.697, 0.017], [0.091, 0.084, 0.114], [0.212, 0.833, 0.327], [0.288, 0.167, 0.827], [0.409, 0.916, 0.614], [0.591, 0.416, 0.886], [0.712, 0.667, 0.673], [0.788, 0.333, 0.173], [0.909, 0.584, 0.386]], "ef_ev_per_atom": 0.6593, "space_group": "P2_12_12_1", "e_above_lowest_polymorph_ev_per_atom": 0.4338, "dos_ef_per_ev_cell": 12.1, "dft_energy_ev_per_atom": -6.0223}


Record 4
{"formula": "CdRe5", "functional": "GGA-PBE", "state": "optimized geometry", "lattice_angstrom": [[0.000, 3.670, 3.670], [3.670, 0.000, 3.670], [3.670, 3.670, 0.000]], "species": ["Cd", "Re", "Re", "Re", "Re", "Re"], "frac_coords": [[0.000, 0.000, 0.000], [0.123, 0.626, 0.626], [0.250, 0.250, 0.250], [0.626, 0.123, 0.626], [0.626, 0.626, 0.123], [0.626, 0.626, 0.626]], "ef_ev_per_atom": 0.5667, "space_group": "F-43m", "e_above_lowest_polymorph_ev_per_atom": 0.2468, "dos_ef_per_ev_cell": 5.4, "dft_energy_ev_per_atom": -9.9592}


Record 5
{"formula": "CdRe3", "functional": "GGA-PBE", "state": "optimized geometry", "lattice_angstrom": [[0.000, 3.174, 3.174], [3.174, 0.000, 3.174], [3.174, 3.174, 0.000]], "species": ["Cd", "Re", "Re", "Re"], "frac_coords": [[0.000, 0.000, 0.000], [0.250, 0.250, 0.250], [0.500, 0.500, 0.500], [0.750, 0.750, 0.750]], "ef_ev_per_atom": 0.6891, "space_group": "Fm-3m", "e_above_lowest_polymorph_ev_per_atom": 0.4158, "dos_ef_per_ev_cell": 3.5, "dft_energy_ev_per_atom": -8.8757}


Record 6
{"formula": "Cd3Re", "functional": "GGA-PBE", "state": "optimized geometry", "lattice_angstrom": [[-2.049, 2.049, 4.540], [2.049, -2.049, 4.540], [2.049, 2.049, -4.540]], "species": ["Cd", "Cd", "Cd", "Re"], "frac_coords": [[0.000, 0.000, 0.000], [0.250, 0.750, 0.500], [0.750, 0.250, 0.500], [0.500, 0.500, 0.000]], "ef_ev_per_atom": 0.6832, "space_group": "I4/mmm", "e_above_lowest_polymorph_ev_per_atom": 0.2924, "dos_ef_per_ev_cell": 3.3, "dft_energy_ev_per_atom": -3.1151}


Record 7
{"formula": "Cd2Re", "functional": "GGA-PBE", "state": "optimized geometry", "lattice_angstrom": [[4.798, 0.000, 0.000], [-2.399, 4.156, 0.000], [0.000, 0.000, 5.705]], "species": ["Cd", "Cd", "Cd", "Cd", "Re", "Re"], "frac_coords": [[0.000, 0.000, 0.000], [0.000, 0.000, 0.500], [0.333, 0.667, 0.250], [0.667, 0.333, 0.750], [0.333, 0.667, 0.750], [0.667, 0.333, 0.250]], "ef_ev_per_atom": 1.0385, "space_group": "P6_3/mmc", "e_above_lowest_polymorph_ev_per_atom": 0.6196, "dos_ef_per_ev_cell": 5.9, "dft_energy_ev_per_atom": -3.7209}


Record 8
{"formula": "Cd3Re", "functional": "GGA-PBE", "state": "optimized geometry", "lattice_angstrom": [[2.955, 0.000, 0.000], [-1.477, 2.559, 0.000], [0.000, 0.000, 10.057]], "species": ["Cd", "Cd", "Cd", "Re"], "frac_coords": [[0.000, 0.000, 0.000], [0.667, 0.333, 0.264], [0.667, 0.333, 0.736], [0.000, 0.000, 0.500]], "ef_ev_per_atom": 0.4276, "space_group": "P-6m2", "e_above_lowest_polymorph_ev_per_atom": 0.0368, "dos_ef_per_ev_cell": 2.6, "dft_energy_ev_per_atom": -3.3708}


Record 9
{"formula": "CdRe2", "functional": "GGA-PBE", "state": "optimized geometry", "lattice_angstrom": [[2.832, 0.000, 0.000], [-1.416, 2.452, 0.000], [0.000, 0.000, 7.165]], "species": ["Cd", "Re", "Re"], "frac_coords": [[0.000, 0.000, 0.000], [0.333, 0.667, 0.357], [0.667, 0.333, 0.643]], "ef_ev_per_atom": 0.2602, "space_group": "P-3m1", "e_above_lowest_polymorph_ev_per_atom": 0.0000, "dos_ef_per_ev_cell": 0.8, "dft_energy_ev_per_atom": -8.3435}


Record 10
{"formula": "Cd5Re", "functional": "GGA-PBE", "state": "optimized geometry", "lattice_angstrom": [[5.532, 0.000, 0.000], [-2.766, 4.791, 0.000], [0.000, 0.000, 4.957]], "species": ["Cd", "Cd", "Cd", "Cd", "Cd", "Re"], "frac_coords": [[0.000, 0.500, 0.000], [0.333, 0.667, 0.500], [0.500, 0.000, 0.000], [0.500, 0.500, 0.000], [0.667, 0.333, 0.500], [0.000, 0.000, 0.500]], "ef_ev_per_atom": 0.8437, "space_group": "P6/mmm", "e_above_lowest_polymorph_ev_per_atom": 0.5013, "dos_ef_per_ev_cell": 4.1, "dft_energy_ev_per_atom": -1.9936}


Record 11
{"formula": "CdRe", "functional": "GGA-PBE", "state": "optimized geometry", "lattice_angstrom": [[0.000, 2.719, 2.719], [2.719, 0.000, 2.719], [2.719, 2.719, 0.000]], "species": ["Cd", "Re"], "frac_coords": [[0.000, 0.000, 0.000], [0.500, 0.500, 0.500]], "ef_ev_per_atom": 2.0355, "space_group": "Fm-3m", "e_above_lowest_polymorph_ev_per_atom": 1.8100, "dos_ef_per_ev_cell": 2.9, "dft_energy_ev_per_atom": -4.6461}


Record 12
{"formula": "Cd2Re", "functional": "GGA-PBE", "state": "optimized geometry", "lattice_angstrom": [[2.428, -8.189, 0.000], [2.428, 8.189, 0.000], [0.000, 0.000, 3.044]], "species": ["Cd", "Cd", "Cd", "Cd", "Re", "Re"], "frac_coords": [[0.090, 0.910, 0.750], [0.285, 0.715, 0.250], [0.715, 0.285, 0.750], [0.910, 0.090, 0.250], [0.443, 0.557, 0.750], [0.557, 0.443, 0.250]], "ef_ev_per_atom": 0.4189, "space_group": "Cmcm", "e_above_lowest_polymorph_ev_per_atom": 0.0000, "dos_ef_per_ev_cell": 3.4, "dft_energy_ev_per_atom": -4.3405}


Record 13
{"formula": "CdRe", "functional": "GGA-PBE", "state": "optimized geometry", "lattice_angstrom": [[1.570, -2.252, 0.000], [1.570, 2.252, 0.000], [0.000, 0.000, 4.866]], "species": ["Cd", "Re"], "frac_coords": [[0.000, 0.000, 0.000], [0.500, 0.500, 0.500]], "ef_ev_per_atom": 0.7026, "space_group": "Cmmm", "e_above_lowest_polymorph_ev_per_atom": 0.4772, "dos_ef_per_ev_cell": 1.1, "dft_energy_ev_per_atom": -5.9790}


Record 14
{"formula": "CdRe2", "functional": "GGA-PBE", "state": "optimized geometry", "lattice_angstrom": [[4.549, 0.000, 0.000], [-2.274, 3.939, 0.000], [0.000, 0.000, 5.833]], "species": ["Cd", "Cd", "Re", "Re", "Re", "Re"], "frac_coords": [[0.000, 0.000, 0.250], [0.000, 0.000, 0.750], [0.333, 0.667, 0.042], [0.333, 0.667, 0.458], [0.667, 0.333, 0.542], [0.667, 0.333, 0.958]], "ef_ev_per_atom": 0.5492, "space_group": "P6_3/mmc", "e_above_lowest_polymorph_ev_per_atom": 0.2890, "dos_ef_per_ev_cell": 3.2, "dft_energy_ev_per_atom": -8.0545}


Record 15
{"formula": "CdRe", "functional": "GGA-PBE", "state": "optimized geometry", "lattice_angstrom": [[4.537, 0.000, 0.000], [0.000, 2.861, 0.000], [0.000, 0.000, 5.417]], "species": ["Cd", "Cd", "Re", "Re"], "frac_coords": [[0.250, 0.000, 0.141], [0.750, 0.000, 0.859], [0.250, 0.500, 0.611], [0.750, 0.500, 0.389]], "ef_ev_per_atom": 0.6251, "space_group": "Pmma", "e_above_lowest_polymorph_ev_per_atom": 0.3996, "dos_ef_per_ev_cell": 1.9, "dft_energy_ev_per_atom": -6.0565}


Record 16
{"formula": "CdRe3", "functional": "GGA-PBE", "state": "optimized geometry", "lattice_angstrom": [[1.479, -2.306, 0.000], [1.479, 2.306, 0.000], [0.000, 0.000, 9.547]], "species": ["Cd", "Re", "Re", "Re"], "frac_coords": [[0.000, 0.000, 0.000], [0.000, 0.000, 0.500], [0.500, 0.500, 0.268], [0.500, 0.500, 0.732]], "ef_ev_per_atom": 0.4539, "space_group": "Cmmm", "e_above_lowest_polymorph_ev_per_atom": 0.1806, "dos_ef_per_ev_cell": 2.9, "dft_energy_ev_per_atom": -9.1110}


Record 17
{"formula": "CdRe", "functional": "GGA-PBE", "state": "optimized geometry", "lattice_angstrom": [[5.200, 0.000, 0.000], [0.000, 5.200, 0.000], [0.000, 0.000, 5.200]], "species": ["Cd", "Cd", "Cd", "Cd", "Re", "Re", "Re", "Re"], "frac_coords": [[0.098, 0.402, 0.598], [0.402, 0.598, 0.098], [0.598, 0.098, 0.402], [0.902, 0.902, 0.902], [0.105, 0.895, 0.395], [0.395, 0.105, 0.895], [0.605, 0.605, 0.605], [0.895, 0.395, 0.105]], "ef_ev_per_atom": 1.1910, "space_group": "P2_13", "e_above_lowest_polymorph_ev_per_atom": 0.9655, "dos_ef_per_ev_cell": 6.4, "dft_energy_ev_per_atom": -5.4906}


Record 18
{"formula": "Cd2Re", "functional": "GGA-PBE", "state": "optimized geometry", "lattice_angstrom": [[2.896, 0.000, 0.000], [-1.448, 2.508, 0.000], [0.000, 0.000, 7.615]], "species": ["Cd", "Cd", "Re"], "frac_coords": [[0.333, 0.667, 0.182], [0.667, 0.333, 0.818], [0.000, 0.000, 0.500]], "ef_ev_per_atom": 0.5426, "space_group": "P-3m1", "e_above_lowest_polymorph_ev_per_atom": 0.1237, "dos_ef_per_ev_cell": 2.6, "dft_energy_ev_per_atom": -4.2168}


Record 19
{"formula": "CdRe", "functional": "GGA-PBE", "state": "optimized geometry", "lattice_angstrom": [[3.524, 0.000, 0.000], [0.000, 3.524, 0.000], [0.000, 0.000, 6.796]], "species": ["Cd", "Cd", "Re", "Re"], "frac_coords": [[0.250, 0.250, 0.141], [0.750, 0.750, 0.859], [0.250, 0.750, 0.500], [0.750, 0.250, 0.500]], "ef_ev_per_atom": 0.8117, "space_group": "P4/nmm", "e_above_lowest_polymorph_ev_per_atom": 0.5862, "dos_ef_per_ev_cell": 2.5, "dft_energy_ev_per_atom": -5.8699}


Record 20
{"formula": "CdRe3", "functional": "GGA-PBE", "state": "optimized geometry", "lattice_angstrom": [[5.656, 0.000, 0.000], [-2.828, 4.899, 0.000], [0.000, 0.000, 9.166]], "species": ["Cd", "Cd", "Cd", "Cd", "Re", "Re", "Re", "Re", "Re", "Re", "Re", "Re", "Re", "Re", "Re", "Re"], "frac_coords": [[0.000, 0.000, 0.000], [0.000, 0.000, 0.500], [0.333, 0.667, 0.250], [0.667, 0.333, 0.750], [0.000, 0.500, 0.000], [0.000, 0.500, 0.500], [0.172, 0.344, 0.750], [0.172, 0.828, 0.750], [0.344, 0.172, 0.250], [0.500, 0.000, 0.000], [0.500, 0.000, 0.500], [0.500, 0.500, 0.000], [0.500, 0.500, 0.500], [0.656, 0.828, 0.750], [0.828, 0.172, 0.250], [0.828, 0.656, 0.250]], "ef_ev_per_atom": 0.6698, "space_group": "P6_3/mmc", "e_above_lowest_polymorph_ev_per_atom": 0.3964, "dos_ef_per_ev_cell": 15.1, "dft_energy_ev_per_atom": -8.8951}


Record 21
{"formula": "Cd4Re", "functional": "GGA-PBE", "state": "optimized geometry", "lattice_angstrom": [[5.344, 0.000, 0.000], [0.000, 5.344, 0.000], [0.000, 0.000, 5.344]], "species": ["Cd", "Cd", "Cd", "Cd", "Re"], "frac_coords": [[0.000, 0.000, 0.000], [0.000, 0.500, 0.500], [0.500, 0.000, 0.500], [0.500, 0.500, 0.000], [0.500, 0.500, 0.500]], "ef_ev_per_atom": 1.0076, "space_group": "Pm-3m", "e_above_lowest_polymorph_ev_per_atom": 0.4624, "dos_ef_per_ev_cell": 3.2, "dft_energy_ev_per_atom": -2.2141}


Record 22
{"formula": "Cd7Re", "functional": "GGA-PBE", "state": "optimized geometry", "lattice_angstrom": [[0.000, 4.314, 4.314], [4.314, 0.000, 4.314], [4.314, 4.314, 0.000]], "species": ["Cd", "Cd", "Cd", "Cd", "Cd", "Cd", "Cd", "Re"], "frac_coords": [[0.000, 0.000, 0.000], [0.000, 0.000, 0.500], [0.000, 0.500, 0.000], [0.000, 0.500, 0.500], [0.500, 0.000, 0.000], [0.500, 0.000, 0.500], [0.500, 0.500, 0.000], [0.500, 0.500, 0.500]], "ef_ev_per_atom": 0.2732, "space_group": "Fm-3m", "dos_ef_per_ev_cell": 2.6, "dft_energy_ev_per_atom": -2.0835}


Record 23
{"formula": "Cd5Re", "functional": "GGA-PBE", "state": "optimized geometry", "lattice_angstrom": [[0.000, 3.959, 3.959], [3.959, 0.000, 3.959], [3.959, 3.959, 0.000]], "species": ["Cd", "Cd", "Cd", "Cd", "Cd", "Re"], "frac_coords": [[0.000, 0.000, 0.000], [0.376, 0.376, 0.376], [0.376, 0.376, 0.873], [0.376, 0.873, 0.376], [0.873, 0.376, 0.376], [0.750, 0.750, 0.750]], "ef_ev_per_atom": 0.7269, "space_group": "F-43m", "e_above_lowest_polymorph_ev_per_atom": 0.3845, "dos_ef_per_ev_cell": 4.9, "dft_energy_ev_per_atom": -2.1103}


Record 24
{"formula": "CdRe3", "functional": "GGA-PBE", "state": "optimized geometry", "lattice_angstrom": [[4.563, 0.000, 0.000], [0.000, 4.563, 0.000], [0.000, 0.000, 3.071]], "species": ["Cd", "Re", "Re", "Re"], "frac_coords": [[0.000, 0.000, 0.000], [0.000, 0.500, 0.500], [0.500, 0.000, 0.500], [0.500, 0.500, 0.000]], "ef_ev_per_atom": 0.7783, "space_group": "P4/mmm", "e_above_lowest_polymorph_ev_per_atom": 0.5049, "dos_ef_per_ev_cell": 3.9, "dft_energy_ev_per_atom": -8.7866}


Record 25
{"formula": "Cd4Re3", "functional": "GGA-PBE", "state": "optimized geometry", "lattice_angstrom": [[-1.469, 1.469, 14.941], [1.469, -1.469, 14.941], [1.469, 1.469, -14.941]], "species": ["Cd", "Cd", "Cd", "Cd", "Re", "Re", "Re"], "frac_coords": [[0.070, 0.070, 0.000], [0.348, 0.348, 0.000], [0.652, 0.652, 0.000], [0.930, 0.930, 0.000], [0.225, 0.225, 0.000], [0.500, 0.500, 0.000], [0.775, 0.775, 0.000]], "ef_ev_per_atom": 0.4218, "space_group": "I4/mmm", "dos_ef_per_ev_cell": 4.1, "dft_energy_ev_per_atom": -5.4360}


Record 26
{"formula": "CdRe", "functional": "GGA-PBE", "state": "optimized geometry", "lattice_angstrom": [[3.240, 0.000, 0.000], [0.000, 3.240, 0.000], [0.000, 0.000, 3.240]], "species": ["Cd", "Re"], "frac_coords": [[0.000, 0.000, 0.000], [0.500, 0.500, 0.500]], "ef_ev_per_atom": 1.1603, "space_group": "Pm-3m", "e_above_lowest_polymorph_ev_per_atom": 0.9348, "dos_ef_per_ev_cell": 1.3, "dft_energy_ev_per_atom": -5.5213}


Record 27
{"formula": "CdRe2", "functional": "GGA-PBE", "state": "optimized geometry", "lattice_angstrom": [[-1.895, 1.895, 8.144], [1.895, -1.895, 8.144], [1.895, 1.895, -8.144]], "species": ["Cd", "Cd", "Re", "Re", "Re", "Re"], "frac_coords": [[0.375, 0.625, 0.750], [0.625, 0.375, 0.250], [0.045, 0.795, 0.250], [0.205, 0.955, 0.250], [0.795, 0.045, 0.750], [0.955, 0.205, 0.750]], "ef_ev_per_atom": 1.1376, "space_group": "I4_1/amd", "e_above_lowest_polymorph_ev_per_atom": 0.8774, "dos_ef_per_ev_cell": 7.9, "dft_energy_ev_per_atom": -7.4662}


Record 28
{"formula": "Cd2Re", "functional": "GGA-PBE", "state": "optimized geometry", "lattice_angstrom": [[-1.409, 1.409, 14.256], [1.409, -1.409, 14.256], [1.409, 1.409, -14.256]], "species": ["Cd", "Cd", "Cd", "Cd", "Re", "Re"], "frac_coords": [[0.297, 0.547, 0.750], [0.453, 0.703, 0.750], [0.547, 0.297, 0.250], [0.703, 0.453, 0.250], [0.125, 0.875, 0.250], [0.875, 0.125, 0.750]], "ef_ev_per_atom": 0.6084, "space_group": "I4_1/amd", "e_above_lowest_polymorph_ev_per_atom": 0.1895, "dos_ef_per_ev_cell": 5.5, "dft_energy_ev_per_atom": -4.1511}